Y3MgTl3Te8 (PBE-GGA, relaxed); calculated density = 5.95 g cm⁻³; DOS(E_F) = 10.9 states/eV/f.u.; M_tot = 0.0 Bohr magnetons per cell; E_tot = -66.4 eV per cell
1.0
7.564 -4.371 0.000
7.564 4.371 0.000
-5.037 0.000 8.125
Y Mg Tl Te
3 1 3 8
Cartesian
0.000 0.000 0.000 Y
3.782 2.185 0.000 Y
3.782 -2.185 0.000 Y
7.564 0.000 0.000 Mg
1.264 2.185 4.062 Tl
1.264 -2.185 4.062 Tl
5.045 0.000 4.062 Tl
2.522 0.000 1.775 Te
6.329 2.141 1.715 Te
3.762 2.141 6.409 Te
0.059 0.000 6.409 Te
10.031 0.000 1.716 Te
6.329 -2.141 1.715 Te
3.762 -2.141 6.409 Te
7.569 0.000 6.349 Te